Entry 1:
! BiSe2SN, optimized geometry, DFT PBE; values from VASP
! Formation energy without anion corrections (eV/f.u.): 7.4
&SYSTEM
  ibrav = 0, nat = 5, ntyp = 4
/
ATOMIC_SPECIES
N 14.01 N.upf
Se 78.96 Se.upf
S 32.06 S.upf
Bi 208.98 Bi.upf
CELL_PARAMETERS angstrom
-5.480 -0.589 0.500
-0.008 -3.541 -4.253
0.580 -3.163 2.632
ATOMIC_POSITIONS crystal
N 0.000 0.000 0.500
Se 0.500 0.000 0.000
Se 0.000 0.500 0.000
S 0.500 0.500 0.500
Bi 0.000 0.000 0.000

Entry 2:
! SrTb3Ag4, optimized geometry, DFT PBE; values from VASP
! ΔH_f (0 K) (meV per atom): -274
&SYSTEM
  ibrav = 0, nat = 16, ntyp = 3
/
ATOMIC_SPECIES
Ag 107.87 Ag.upf
Sr 87.62 Sr.upf
Tb 158.93 Tb.upf
CELL_PARAMETERS angstrom
5.255 0.000 0.000
0.000 7.393 0.000
0.000 0.000 10.507
ATOMIC_POSITIONS crystal
Ag 0.500 0.768 0.500
Ag 0.500 0.232 0.000
Ag 0.500 0.768 0.000
Ag 0.500 0.232 0.500
Ag 0.000 0.768 0.750
Ag 0.000 0.768 0.250
Ag 0.000 0.232 0.250
Ag 0.000 0.232 0.750
Sr 0.000 0.500 0.500
Sr 0.000 0.500 0.000
Tb 0.500 0.500 0.250
Tb 0.000 0.000 0.500
Tb 0.500 0.000 0.750
Tb 0.500 0.500 0.750
Tb 0.000 0.000 0.000
Tb 0.500 0.000 0.250

Entry 3:
! La2Pm9Er, optimized geometry, DFT PBE; values from VASP
! ΔH_f (0 K) (meV per atom): 60
&SYSTEM
  ibrav = 0, nat = 12, ntyp = 3
/
ATOMIC_SPECIES
Er 167.26 Er.upf
Pm 145.00 Pm.upf
La 138.91 La.upf
CELL_PARAMETERS angstrom
3.554 0.000 0.000
0.000 11.563 0.000
0.000 -5.782 10.014
ATOMIC_POSITIONS crystal
Er 0.000 0.000 0.000
Pm 0.500 0.830 0.661
Pm 0.500 0.170 0.830
Pm 0.500 0.830 0.170
Pm 0.000 0.500 0.000
Pm 0.000 0.000 0.500
Pm 0.500 0.170 0.339
Pm 0.500 0.661 0.830
Pm 0.000 0.500 0.500
Pm 0.500 0.339 0.170
La 0.000 0.333 0.667
La 0.000 0.667 0.333

Entry 4:
! LaPm5Tm2Sc, optimized geometry, DFT PBE; values from VASP
! ΔH_f (0 K) (meV per atom): 168
&SYSTEM
  ibrav = 0, nat = 18, ntyp = 4
/
ATOMIC_SPECIES
Pm 145.00 Pm.upf
Tm 168.93 Tm.upf
La 138.91 La.upf
Sc 44.96 Sc.upf
CELL_PARAMETERS angstrom
5.655 0.000 0.000
-2.827 10.023 0.000
0.000 0.000 10.494
ATOMIC_POSITIONS crystal
Pm 0.982 0.964 0.519
Pm 0.375 0.750 0.019
Pm 0.484 0.968 0.741
Pm 0.625 0.250 0.519
Pm 0.298 0.596 0.707
Pm 0.516 0.032 0.241
Pm 0.018 0.036 0.019
Pm 0.723 0.446 0.822
Pm 0.702 0.404 0.207
Pm 0.277 0.554 0.322
Tm 0.115 0.231 0.736
Tm 0.888 0.776 0.812
Tm 0.885 0.769 0.236
Tm 0.112 0.224 0.312
La 0.587 0.173 0.955
La 0.413 0.827 0.455
Sc 0.805 0.610 0.514
Sc 0.195 0.390 0.014

Entry 5:
! BaGa, optimized geometry, DFT PBE; values from VASP
! ΔH_f (0 K) (meV per atom): 238
&SYSTEM
  ibrav = 0, nat = 4, ntyp = 2
/
ATOMIC_SPECIES
Ga 69.72 Ga.upf
Ba 137.33 Ba.upf
CELL_PARAMETERS angstrom
-2.353 -2.886 4.554
-1.875 -1.100 -5.466
4.776 -4.918 -0.649
ATOMIC_POSITIONS crystal
Ga 0.667 0.333 0.750
Ga 0.333 0.667 0.250
Ba 0.333 0.667 0.750
Ba 0.667 0.333 0.250

Entry 6:
! TmVOs, optimized geometry, DFT PBE; values from VASP
! ΔH_f (0 K) (meV per atom): 70
&SYSTEM
  ibrav = 0, nat = 3, ntyp = 3
/
ATOMIC_SPECIES
Tm 168.93 Tm.upf
V 50.94 V.upf
Os 190.23 Os.upf
CELL_PARAMETERS angstrom
-0.526 1.862 -2.470
3.052 -2.188 -2.299
-4.199 -1.321 -0.101
ATOMIC_POSITIONS crystal
Tm 0.996 0.000 0.000
V 0.395 0.333 0.667
Os 0.609 0.667 0.333

Number 1: Fermi-level density of states 1.358 states/eV/atom. Number 2: Fermi-level density of states 0.590 states/eV/atom. Number 3: Fermi-level density of states 1.440 states/eV/atom. Number 4: Fermi-level density of states 1.600 states/eV/atom. Number 5: Fermi-level density of states 1.748 states/eV/atom. Number 6: Fermi-level density of states 0.869 states/eV/atom.